Below is a geometry-optimized Pm3Si2Pb2 structure, with properties calculated at the PBE-GGA level.

Lattice parameters (Å, degrees): 11.8813 3.8394 9.3047 90.00 118.90 90.00
Space group C2/m (No. 12)
Symmetry-distinct sites (fractional):
Pm1 0.0000 0.0000 0.0000
Pm2 0.1756 0.0000 0.6816
Si1 0.1880 0.5000 0.9327
Pb1 0.0710 0.5000 0.3397

N(E_F): 3.082 states/eV/f.u.
Formation energy from raw total energies: -0.552 eV per atom
ρ: 8.1 g cm⁻³